(1)
Compound: InCuSnSe4
Source: Alexandria
Functional: PBE-GGA
Structure: relaxed

Cell: 7.913 7.913 7.913 Å, 120.15 119.80 90.04°
Fractional positions:
In: 0.500 0.000 0.000
In: 0.500 0.500 0.500
Cu: 0.116 0.366 0.750
Cu: 0.884 0.634 0.250
Sn: 0.000 0.000 0.000
Sn: 0.500 0.000 0.500
Se: 0.249 0.246 0.497
Se: 0.249 0.753 0.003
Se: 0.251 0.245 0.006
Se: 0.262 0.755 0.506
Se: 0.738 0.245 0.494
Se: 0.749 0.755 0.994
Se: 0.751 0.247 0.997
Se: 0.751 0.754 0.503

Output
- Total energy: -3.92 eV/atom
- Theoretical density: 5.81 Mg/m³
- Symmetry: Imma (74)
- Formation energy (no corrections): -0.376 eV/atom
- E above lowest polymorph: 20.4 meV per atom



(2)
Compound: Sm5ScZn4
Source: Alexandria
Functional: PBE-GGA
Structure: relaxed

Cell: 3.632 3.632 19.114 Å, 90.00 90.00 90.00°
Fractional positions:
Sm: 0.000 0.000 0.000
Sm: 0.000 0.000 0.190
Sm: 0.000 0.000 0.381
Sm: 0.000 0.000 0.619
Sm: 0.000 0.000 0.810
Sc: 0.500 0.500 0.500
Zn: 0.500 0.500 0.096
Zn: 0.500 0.500 0.287
Zn: 0.500 0.500 0.713
Zn: 0.500 0.500 0.904

Output
- Total energy: -3.74 eV/atom
- Theoretical density: 6.97 Mg/m³
- ΔE_f: -239 meV/atom
- Symmetry: P4/mmm (123)



(3)
Compound: PmDy6Th3
Source: Alexandria
Functional: PBE-GGA
Structure: relaxed

Cell: 6.958 6.958 6.958 Å, 90.48 90.48 90.48°
Fractional positions:
Pm: 0.000 0.000 0.000
Dy: 0.080 0.747 0.419
Dy: 0.253 0.581 0.920
Dy: 0.419 0.080 0.747
Dy: 0.581 0.920 0.253
Dy: 0.747 0.419 0.080
Dy: 0.920 0.253 0.581
Th: 0.248 0.248 0.248
Th: 0.500 0.500 0.500
Th: 0.752 0.752 0.752

Output
- Total energy: -5.11 eV/atom
- Theoretical density: 8.95 Mg/m³
- ΔE_f: 353 meV/atom
- Symmetry: R-3 (148)



Number 1: total magnetic moment 0.00 μB/cell. Number 2: total magnetic moment 0.00 μB/cell. Number 3: total magnetic moment 0.00 μB/cell.